No. 1
First-principles (PBE) data for a relaxed structure of SmEuPuIn, as listed in the Alexandria database. Values from VASP.

Total DFT energy (no corrections): -8.005 eV/atom
Energy of formation from the pure elements: 0.01 eV per atom

```
&SYSTEM
  ibrav = 0, nat = 4, ntyp = 4
/
ATOMIC_SPECIES
Eu 151.96 Eu.upf
Pu 244.00 Pu.upf
Sm 150.36 Sm.upf
In 114.82 In.upf
CELL_PARAMETERS angstrom
5.535 0.000 0.000
2.767 4.793 0.000
2.767 1.598 4.519
ATOMIC_POSITIONS angstrom
Eu 0.000 0.000 0.000
Pu 8.302 4.793 3.389
Sm 5.535 3.196 2.260
In 2.767 1.598 1.130
```

***

No. 2
First-principles (PBE) data for a relaxed structure of Tm2PdAu, as listed in the Alexandria database. Values from VASP.

Total DFT energy (no corrections): -5.146 eV/atom
Energy of formation from the pure elements: -0.79 eV per atom

```
&SYSTEM
  ibrav = 0, nat = 4, ntyp = 3
/
ATOMIC_SPECIES
Tm 168.93 Tm.upf
Pd 106.42 Pd.upf
Au 196.97 Au.upf
CELL_PARAMETERS angstrom
4.037 0.000 0.000
2.018 3.496 0.000
2.018 1.165 6.836
ATOMIC_POSITIONS angstrom
Tm 6.055 3.496 5.226
Tm 2.018 1.165 1.610
Pd 0.000 0.000 0.000
Au 4.037 2.331 3.418
```

***

No. 3
First-principles (PBE) data for a relaxed structure of LiTc2Au, as listed in the Alexandria database. Values from VASP.

Relative energy among the computed polymorphs: 0.441 eV/atom
Total DFT energy (no corrections): -6.001 eV/atom
Energy of formation from the pure elements: 0.48 eV per atom

```
&SYSTEM
  ibrav = 0, nat = 4, ntyp = 3
/
ATOMIC_SPECIES
Li 6.94 Li.upf
Tc 98.00 Tc.upf
Au 196.97 Au.upf
CELL_PARAMETERS angstrom
-4.670 1.470 8.357
-5.098 -1.228 8.143
-2.782 -0.294 9.272
ATOMIC_POSITIONS angstrom
Li -9.413 -0.039 19.329
Tc -0.005 0.000 0.009
Tc -6.271 -0.026 12.877
Au -3.138 -0.013 6.443
```